<i>
Material: TmCd2Ag8
Method: DFT, PBE
State: relaxed

Output
- SG = C2/m, No. 12
- V (A^3/atom) = 19.12
- magnetization (μB/f.u.) = 0.0

Cell lengths 7.836, 7.836, 6.714 Å; angles 106.29, 106.29, 32.24 degrees
Fractional coordinates of all 11 atoms:
Tm: 0.000 0.000 0.000
Cd: 0.273 0.273 0.356
Cd: 0.727 0.727 0.644
Ag: 0.092 0.092 0.464
Ag: 0.184 0.184 0.912
Ag: 0.363 0.363 0.811
Ag: 0.455 0.455 0.275
Ag: 0.545 0.545 0.725
Ag: 0.637 0.637 0.189
Ag: 0.816 0.816 0.088
Ag: 0.908 0.908 0.536


<ii>
Material: TmCd2Ag8
Method: DFT, PBE
State: relaxed

Output
- SG = C2/m, No. 12
- V (A^3/atom) = 20.10
- magnetization (μB/f.u.) = 0.0

Cell lengths 8.182, 8.182, 5.146 Å; angles 107.44, 107.44, 123.74 degrees
Fractional coordinates of all 11 atoms:
Tm: 0.000 0.000 0.000
Cd: 0.318 0.682 0.500
Cd: 0.682 0.318 0.500
Ag: 0.095 0.360 0.720
Ag: 0.202 0.798 0.000
Ag: 0.360 0.095 0.720
Ag: 0.481 0.481 0.234
Ag: 0.519 0.519 0.766
Ag: 0.640 0.905 0.280
Ag: 0.798 0.202 0.000
Ag: 0.905 0.640 0.280


Relative to the most stable one, in kJ/mol of atoms, the structures come out at <i> 0.0; <ii> 8.7.


<i>
Material: Tm3Cd2Ag4
Method: DFT, PBE
State: relaxed

Output
- SG = C2/m, No. 12
- V (A^3/atom) = 22.18
- magnetization (μB/f.u.) = 0.0

Cell lengths 5.042, 5.042, 9.108 Å; angles 93.79, 93.79, 59.87 degrees
Fractional coordinates of all 9 atoms:
Tm: 0.000 0.000 0.000
Tm: 0.354 0.354 0.242
Tm: 0.646 0.646 0.758
Cd: 0.300 0.300 0.591
Cd: 0.700 0.700 0.409
Ag: 0.030 0.030 0.343
Ag: 0.325 0.325 0.914
Ag: 0.675 0.675 0.086
Ag: 0.970 0.970 0.657


<ii>
Material: Tm3Cd2Ag4
Method: DFT, PBE
State: relaxed

Output
- SG = C2/c, No. 15
- V (A^3/atom) = 22.45
- magnetization (μB/f.u.) = 0.0

Cell lengths 8.971, 8.971, 5.259 Å; angles 98.16, 98.16, 76.05 degrees
Fractional coordinates of all 18 atoms:
Tm: 0.138 0.862 0.750
Tm: 0.215 0.458 0.916
Tm: 0.458 0.215 0.416
Tm: 0.542 0.785 0.584
Tm: 0.785 0.542 0.084
Tm: 0.862 0.138 0.250
Cd: 0.005 0.767 0.194
Cd: 0.233 0.995 0.306
Cd: 0.767 0.005 0.694
Cd: 0.995 0.233 0.806
Ag: 0.095 0.354 0.360
Ag: 0.323 0.567 0.470
Ag: 0.354 0.095 0.860
Ag: 0.433 0.677 0.030
Ag: 0.567 0.323 0.970
Ag: 0.646 0.905 0.140
Ag: 0.677 0.433 0.530
Ag: 0.905 0.646 0.640


Relative to the most stable one, in kJ/mol of atoms, the structures come out at <i> 0.0; <ii> 5.2.


<i>
Material: TmCd3Ag6
Method: DFT, PBE
State: relaxed

Output
- SG = P2_1/m, No. 11
- V (A^3/atom) = 19.82
- magnetization (μB/f.u.) = 0.0

Cell lengths 9.181, 4.498, 9.638 Å; angles 90.00, 95.21, 90.00 degrees
Fractional coordinates of all 20 atoms:
Tm: 0.064 0.250 0.385
Tm: 0.936 0.750 0.615
Cd: 0.248 0.250 0.010
Cd: 0.334 0.750 0.806
Cd: 0.441 0.250 0.600
Cd: 0.559 0.750 0.400
Cd: 0.666 0.250 0.194
Cd: 0.752 0.750 0.990
Ag: 0.048 0.750 0.914
Ag: 0.141 0.250 0.707
Ag: 0.165 0.750 0.204
Ag: 0.251 0.750 0.505
Ag: 0.373 0.250 0.296
Ag: 0.461 0.750 0.100
Ag: 0.539 0.250 0.900
Ag: 0.627 0.750 0.704
Ag: 0.749 0.250 0.495
Ag: 0.835 0.250 0.796
Ag: 0.859 0.750 0.293
Ag: 0.952 0.250 0.086


<ii>
Material: TmCd3Ag6
Method: DFT, PBE
State: relaxed

Output
- SG = Cmc2_1, No. 36
- V (A^3/atom) = 20.58
- magnetization (μB/f.u.) = 0.0

Cell lengths 8.191, 8.191, 7.677 Å; angles 90.00, 90.00, 126.95 degrees
Fractional coordinates of all 20 atoms:
Tm: 0.208 0.792 0.500
Tm: 0.792 0.208 0.000
Cd: 0.156 0.415 0.282
Cd: 0.415 0.156 0.782
Cd: 0.436 0.564 0.618
Cd: 0.564 0.436 0.118
Cd: 0.585 0.844 0.282
Cd: 0.844 0.585 0.782
Ag: 0.002 0.998 0.170
Ag: 0.009 0.371 0.650
Ag: 0.218 0.331 0.928
Ag: 0.278 0.722 0.884
Ag: 0.331 0.218 0.428
Ag: 0.371 0.009 0.150
Ag: 0.629 0.991 0.650
Ag: 0.669 0.782 0.928
Ag: 0.722 0.278 0.384
Ag: 0.782 0.669 0.428
Ag: 0.991 0.629 0.150
Ag: 0.998 0.002 0.670


Relative to the most stable one, in kJ/mol of atoms, the structures come out at <i> 0.0; <ii> 2.8.


<i>
Material: Tm2Cd3Ag4
Method: DFT, PBE
State: relaxed

Output
- SG = C2/m, No. 12
- V (A^3/atom) = 21.03
- magnetization (μB/f.u.) = 0.0

Cell lengths 4.920, 4.920, 9.137 Å; angles 92.02, 92.02, 58.89 degrees
Fractional coordinates of all 9 atoms:
Tm: 0.170 0.170 0.223
Tm: 0.830 0.830 0.777
Cd: 0.161 0.161 0.577
Cd: 0.500 0.500 0.000
Cd: 0.839 0.839 0.423
Ag: 0.164 0.164 0.898
Ag: 0.493 0.493 0.655
Ag: 0.507 0.507 0.345
Ag: 0.836 0.836 0.102


<ii>
Material: Tm2Cd3Ag4
Method: DFT, PBE
State: relaxed

Output
- SG = Cmce, No. 64
- V (A^3/atom) = 22.07
- magnetization (μB/f.u.) = 0.0

Cell lengths 9.067, 9.067, 7.943 Å; angles 90.00, 90.00, 142.53 degrees
Fractional coordinates of all 18 atoms:
Tm: 0.095 0.905 0.894
Tm: 0.405 0.595 0.394
Tm: 0.595 0.405 0.606
Tm: 0.905 0.095 0.106
Cd: 0.000 0.000 0.500
Cd: 0.010 0.490 0.750
Cd: 0.490 0.010 0.250
Cd: 0.500 0.500 0.000
Cd: 0.510 0.990 0.750
Cd: 0.990 0.510 0.250
Ag: 0.163 0.837 0.523
Ag: 0.178 0.322 0.750
Ag: 0.322 0.178 0.250
Ag: 0.337 0.663 0.023
Ag: 0.663 0.337 0.977
Ag: 0.678 0.822 0.750
Ag: 0.822 0.678 0.250
Ag: 0.837 0.163 0.477


Relative to the most stable one, in kJ/mol of atoms, the structures come out at <i> 0.0; <ii> 6.8.


<i>
Material: TmCd4Ag
Method: DFT, PBE
State: relaxed

Output
- SG = Cmcm, No. 63
- V (A^3/atom) = 28.27
- magnetization (μB/f.u.) = 0.0

Cell lengths 6.140, 6.140, 10.159 Å; angles 90.00, 90.00, 62.36 degrees
Fractional coordinates of all 12 atoms:
Tm: 0.000 0.000 0.250
Tm: 0.000 0.000 0.750
Cd: 0.001 0.499 0.250
Cd: 0.267 0.733 0.000
Cd: 0.267 0.733 0.500
Cd: 0.499 0.001 0.750
Cd: 0.501 0.999 0.250
Cd: 0.733 0.267 0.000
Cd: 0.733 0.267 0.500
Cd: 0.999 0.501 0.750
Ag: 0.500 0.500 0.250
Ag: 0.500 0.500 0.750


<ii>
Material: TmCd4Ag
Method: DFT, PBE
State: relaxed

Output
- SG = P-1, No. 2
- V (A^3/atom) = 22.45
- magnetization (μB/f.u.) = 0.0

Cell lengths 4.909, 5.074, 6.257 Å; angles 97.98, 90.09, 118.89 degrees
Fractional coordinates of all 6 atoms:
Tm: 0.000 0.000 0.000
Cd: 0.307 0.616 0.744
Cd: 0.367 0.732 0.256
Cd: 0.633 0.268 0.744
Cd: 0.693 0.384 0.256
Ag: 0.000 0.000 0.500


<iii>
Material: TmCd4Ag
Method: DFT, PBE
State: relaxed

Output
- SG = F-43m, No. 216
- V (A^3/atom) = 22.68
- magnetization (μB/f.u.) = 0.0

Cell lengths 5.773, 5.773, 5.773 Å; angles 60.00, 60.00, 60.00 degrees
Fractional coordinates of all 6 atoms:
Tm: 0.000 0.000 0.000
Cd: 0.375 0.375 0.375
Cd: 0.375 0.375 0.875
Cd: 0.375 0.875 0.375
Cd: 0.875 0.375 0.375
Ag: 0.750 0.750 0.750


Relative to the most stable one, in kJ/mol of atoms, the structures come out at <i> 22.3; <ii> 0.0; <iii> 12.2.


<i>
Material: Tm2Cd2Ag
Method: DFT, PBE
State: relaxed

Output
- SG = Ibam, No. 72
- V (A^3/atom) = 24.39
- magnetization (μB/f.u.) = 0.0

Cell lengths 8.095, 8.095, 8.095 Å; angles 134.10, 62.77, 139.61 degrees
Fractional coordinates of all 10 atoms:
Tm: 0.178 0.179 0.357
Tm: 0.322 0.679 0.001
Tm: 0.678 0.321 0.999
Tm: 0.822 0.821 0.643
Cd: 0.092 0.644 0.735
Cd: 0.408 0.144 0.552
Cd: 0.592 0.856 0.448
Cd: 0.908 0.356 0.265
Ag: 0.250 0.250 0.000
Ag: 0.750 0.750 0.000


<ii>
Material: Tm2Cd2Ag
Method: DFT, PBE
State: relaxed

Output
- SG = C2/m, No. 12
- V (A^3/atom) = 23.61
- magnetization (μB/f.u.) = 0.0

Cell lengths 3.589, 3.589, 9.506 Å; angles 100.81, 100.81, 90.05 degrees
Fractional coordinates of all 5 atoms:
Tm: 0.097 0.097 0.194
Tm: 0.903 0.903 0.806
Cd: 0.296 0.296 0.592
Cd: 0.704 0.704 0.408
Ag: 0.500 0.500 0.000


Relative to the most stable one, in kJ/mol of atoms, the structures come out at <i> 9.8; <ii> 0.0.